Computed, not measured: a geometry-optimized ZrNb2CS structure at the PBE level of DFT.

Cell and atoms, written as POSCAR:
```
ZrNb2CS
1.0
4.468 0.000 0.000
0.000 4.468 0.000
0.000 0.000 4.879
C Nb Zr S
1 2 1 1
direct
0.500 0.500 0.500
0.000 0.500 0.000
0.500 0.000 0.000
0.000 0.000 0.500
0.000 0.000 0.000
```

Calculated values
Formation energy from raw total energies ... 1189 meV/atom
E ... -36.09 eV/cell
Total magnetization ... 0.00 μB per cell
SG ... P4/mmm (123)

Computed, not measured: a geometry-optimized MnGePS2 structure at the PBE level of DFT.

Cell and atoms, written as POSCAR:
```
MnGePS2
1.0
4.563 0.000 0.000
0.000 4.563 0.000
0.000 0.000 4.291
S Ge P Mn
2 1 1 1
direct
0.500 0.000 0.000
0.000 0.500 0.000
0.500 0.500 0.500
0.000 0.000 0.500
0.000 0.000 0.000
```

Calculated values
Formation energy from raw total energies ... 337 meV/atom
E ... -25.77 eV/cell
Total magnetization ... 2.88 μB per cell
E above lowest polymorph ... 0.0 meV/atom
SG ... P4/mmm (123)

Computed, not measured: a geometry-optimized CdNiRu2 structure at the PBE level of DFT.

Cell and atoms, written as POSCAR:
```
CdNiRu2
1.0
4.207 0.000 0.000
0.000 3.737 0.000
0.000 0.000 3.737
Cd Ru Ni
1 2 1
direct
0.500 0.500 0.000
0.000 0.500 0.500
0.000 0.000 0.000
0.500 0.000 0.500
```

Calculated values
E ... -23.50 eV/cell
Total magnetization ... 0.39 μB per cell
SG ... P4/mmm (123)

Computed, not measured: a geometry-optimized Sm4Ho3Th structure at the PBE level of DFT.

Cell and atoms, written as POSCAR:
```
Sm4Ho3Th
1.0
3.433 0.000 -0.433
-0.170 6.668 -1.349
-0.252 -1.048 11.821
Sm Ho Th
4 3 1
direct
0.878 0.637 0.755
0.741 0.236 0.483
0.122 0.363 0.245
0.259 0.764 0.517
0.877 0.116 0.755
0.000 0.500 0.000
0.123 0.884 0.245
0.500 0.000 0.000
```

Calculated values
E ... -38.65 eV/cell
Total magnetization ... 0.00 μB per cell
E above lowest polymorph ... 134.1 meV/atom
SG ... C2/m (12)

Computed, not measured: a geometry-optimized La2AlTl structure at the PBE level of DFT.

Cell and atoms, written as POSCAR:
```
La2AlTl
1.0
-0.370 -2.863 -2.541
-2.362 -1.838 2.415
-6.264 3.729 -3.288
La Al Tl
2 1 1
direct
0.000 0.000 0.985
0.000 0.000 0.515
0.500 0.500 0.750
0.500 0.500 0.250
```

Calculated values
E ... -17.52 eV/cell
Total magnetization ... 0.00 μB per cell
SG ... P4/mmm (123)

Computed, not measured: a geometry-optimized PrMn4Se8 structure at the PBE level of DFT.

Cell and atoms, written as POSCAR:
```
PrMn4Se8
1.0
6.738 0.000 3.073
2.668 6.187 3.073
0.323 0.212 8.217
Se Mn Pr
8 4 1
direct
0.269 0.764 0.204
0.269 0.269 0.193
0.236 0.236 0.796
0.731 0.236 0.796
0.731 0.731 0.807
0.764 0.764 0.204
0.764 0.269 0.204
0.236 0.731 0.796
0.000 0.000 0.000
0.500 0.000 0.000
0.000 0.500 0.000
0.500 0.500 0.000
0.500 0.500 0.500
```

Calculated values
Formation energy from raw total energies ... -661 meV/atom
E ... -77.93 eV/cell
Total magnetization ... 14.87 μB per cell
SG ... R-3m (166)

Please write out number 6 again, unchanged.
Computed, not measured: a geometry-optimized PrMn4Se8 structure at the PBE level of DFT.

Cell and atoms, written as POSCAR:
```
PrMn4Se8
1.0
6.738 0.000 3.073
2.668 6.187 3.073
0.323 0.212 8.217
Se Mn Pr
8 4 1
direct
0.269 0.764 0.204
0.269 0.269 0.193
0.236 0.236 0.796
0.731 0.236 0.796
0.731 0.731 0.807
0.764 0.764 0.204
0.764 0.269 0.204
0.236 0.731 0.796
0.000 0.000 0.000
0.500 0.000 0.000
0.000 0.500 0.000
0.500 0.500 0.000
0.500 0.500 0.500
```

Calculated values
Formation energy from raw total energies ... -661 meV/atom
E ... -77.93 eV/cell
Total magnetization ... 14.87 μB per cell
SG ... R-3m (166)